i:
# VMoPd (GGA-PBE, optimized geometry)
data_VMoPd
_cell_length_a 3.1505
_cell_length_b 3.1505
_cell_length_c 9.1956
_cell_angle_alpha 90.00
_cell_angle_beta 90.00
_cell_angle_gamma 90.00
_space_group_name_H-M_alt 'I 4 m m'
_space_group_IT_number 107
_space_group_name_Hall 'I 4 -2'
loop_
_atom_site_label
_atom_site_type_symbol
_atom_site_fract_x
_atom_site_fract_y
_atom_site_fract_z
V1 V 0.0000 0.0000 0.0000
Mo1 Mo 0.0000 0.0000 0.6373
Pd1 Pd 0.0000 0.0000 0.3256
# Magnetization ... 0.0 Bohr magnetons per cell
# Crystal system ... tetragonal
# DOS(E_F) ... 10.725 states/eV/cell

ii:
# VMoPd (GGA-PBE, optimized geometry)
data_VMoPd
_cell_length_a 4.3947
_cell_length_b 4.3947
_cell_length_c 5.3725
_cell_angle_alpha 90.00
_cell_angle_beta 90.00
_cell_angle_gamma 120.00
_space_group_name_H-M_alt 'P -3 m 1'
_space_group_IT_number 164
_space_group_name_Hall '-P 3 2"'
loop_
_atom_site_label
_atom_site_type_symbol
_atom_site_fract_x
_atom_site_fract_y
_atom_site_fract_z
V1 V 0.3333 0.6667 0.4062
Mo1 Mo 0.0000 0.0000 0.2709
Pd1 Pd 0.3333 0.6667 0.9017
# Magnetization ... 0.0 Bohr magnetons per cell
# Crystal system ... trigonal
# DOS(E_F) ... 7.030 states/eV/cell

Most stable: ii (next structure +103 meV/atom)

i:
# VMoPd2 (GGA-PBE, optimized geometry)
data_VMoPd2
_cell_length_a 7.0418
_cell_length_b 7.0418
_cell_length_c 5.1817
_cell_angle_alpha 90.00
_cell_angle_beta 90.00
_cell_angle_gamma 90.00
_space_group_name_H-M_alt 'I -4 2 d'
_space_group_IT_number 122
_space_group_name_Hall 'I -4 2bw'
loop_
_atom_site_label
_atom_site_type_symbol
_atom_site_fract_x
_atom_site_fract_y
_atom_site_fract_z
V1 V 0.0000 0.0000 0.0000
Mo1 Mo 0.0000 0.0000 0.5000
Pd1 Pd 0.2288 0.2500 0.1250
# Magnetization ... 0.0 Bohr magnetons per cell
# Crystal system ... tetragonal
# DOS(E_F) ... 17.516 states/eV/cell

ii:
# VMoPd2 (GGA-PBE, optimized geometry)
data_VMoPd2
_cell_length_a 2.7472
_cell_length_b 2.7472
_cell_length_c 27.3867
_cell_angle_alpha 90.00
_cell_angle_beta 90.00
_cell_angle_gamma 120.00
_space_group_name_H-M_alt 'R -3 m'
_space_group_IT_number 166
_space_group_name_Hall '-R 3 2"'
loop_
_atom_site_label
_atom_site_type_symbol
_atom_site_fract_x
_atom_site_fract_y
_atom_site_fract_z
V1 V 0.0000 0.0000 0.0000
Mo1 Mo 0.0000 0.0000 0.5000
Pd1 Pd 0.0000 0.0000 0.2527
# Magnetization ... 0.0 Bohr magnetons per cell
# Crystal system ... trigonal
# DOS(E_F) ... 13.584 states/eV/cell

iii:
# VMoPd2 (GGA-PBE, optimized geometry)
data_VMoPd2
_cell_length_a 6.2930
_cell_length_b 6.2930
_cell_length_c 6.2930
_cell_angle_alpha 90.00
_cell_angle_beta 90.00
_cell_angle_gamma 90.00
_space_group_name_H-M_alt 'F m -3 m'
_space_group_IT_number 225
_space_group_name_Hall '-F 4 2 3'
loop_
_atom_site_label
_atom_site_type_symbol
_atom_site_fract_x
_atom_site_fract_y
_atom_site_fract_z
V1 V 0.0000 0.0000 0.0000
Mo1 Mo 0.0000 0.0000 0.5000
Pd1 Pd 0.2500 0.2500 0.2500
# Magnetization ... 10.7 Bohr magnetons per cell
# Crystal system ... cubic
# DOS(E_F) ... 28.481 states/eV/cell

iv:
# VMoPd2 (GGA-PBE, optimized geometry)
data_VMoPd2
_cell_length_a 3.8222
_cell_length_b 3.8222
_cell_length_c 4.0438
_cell_angle_alpha 90.00
_cell_angle_beta 90.00
_cell_angle_gamma 90.00
_space_group_name_H-M_alt 'P 4/m m m'
_space_group_IT_number 123
_space_group_name_Hall '-P 4 2'
loop_
_atom_site_label
_atom_site_type_symbol
_atom_site_fract_x
_atom_site_fract_y
_atom_site_fract_z
V1 V 0.0000 0.0000 0.0000
Mo1 Mo 0.5000 0.5000 0.0000
Pd1 Pd 0.0000 0.5000 0.5000
# Magnetization ... 0.0 Bohr magnetons per cell
# Crystal system ... tetragonal
# DOS(E_F) ... 3.237 states/eV/cell

Most stable: iv (next structure +96 meV/atom)

i:
# VMoPd6 (GGA-PBE, optimized geometry)
data_VMoPd6
_cell_length_a 7.5593
_cell_length_b 5.2603
_cell_length_c 7.2270
_cell_angle_alpha 90.00
_cell_angle_beta 109.36
_cell_angle_gamma 90.00
_space_group_name_H-M_alt 'C 1 2/m 1'
_space_group_IT_number 12
_space_group_name_Hall '-C 2y'
loop_
_atom_site_label
_atom_site_type_symbol
_atom_site_fract_x
_atom_site_fract_y
_atom_site_fract_z
V1 V 0.0000 0.0000 0.0000
Mo1 Mo 0.0000 0.5000 0.5000
Pd1 Pd 0.1449 0.0000 0.4359
Pd2 Pd 0.1912 0.2461 0.8065
# Magnetization ... 1.3 Bohr magnetons per cell
# Crystal system ... monoclinic
# DOS(E_F) ... 12.885 states/eV/cell

ii:
# VMoPd6 (GGA-PBE, optimized geometry)
data_VMoPd6
_cell_length_a 4.4846
_cell_length_b 5.5073
_cell_length_c 9.7759
_cell_angle_alpha 90.00
_cell_angle_beta 90.00
_cell_angle_gamma 90.00
_space_group_name_H-M_alt 'A m m 2'
_space_group_IT_number 38
_space_group_name_Hall 'A 2 -2'
loop_
_atom_site_label
_atom_site_type_symbol
_atom_site_fract_x
_atom_site_fract_y
_atom_site_fract_z
V1 V 0.0000 0.0000 0.0000
Mo1 Mo 0.5000 0.0000 0.1743
Pd1 Pd 0.0000 0.0000 0.5057
Pd2 Pd 0.0000 0.2451 0.2532
Pd3 Pd 0.5000 0.0000 0.6719
Pd4 Pd 0.5000 0.2440 0.9241
# Magnetization ... 2.0 Bohr magnetons per cell
# Crystal system ... orthorhombic
# DOS(E_F) ... 16.761 states/eV/cell

Most stable: ii (next structure +232 meV/atom)

i:
# V3MoPd (GGA-PBE, optimized geometry)
data_V3MoPd
_cell_length_a 4.4912
_cell_length_b 4.4912
_cell_length_c 4.4912
_cell_angle_alpha 90.00
_cell_angle_beta 90.00
_cell_angle_gamma 90.00
_space_group_name_H-M_alt 'P m -3 m'
_space_group_IT_number 221
_space_group_name_Hall '-P 4 2 3'
loop_
_atom_site_label
_atom_site_type_symbol
_atom_site_fract_x
_atom_site_fract_y
_atom_site_fract_z
V1 V 0.0000 0.0000 0.5000
Mo1 Mo 0.0000 0.0000 0.0000
Pd1 Pd 0.5000 0.5000 0.5000
# Magnetization ... 0.0 Bohr magnetons per cell
# Crystal system ... cubic
# DOS(E_F) ... 8.838 states/eV/cell

ii:
# V3MoPd (GGA-PBE, optimized geometry)
data_V3MoPd
_cell_length_a 4.7593
_cell_length_b 12.5403
_cell_length_c 5.1754
_cell_angle_alpha 90.00
_cell_angle_beta 109.68
_cell_angle_gamma 90.00
_space_group_name_H-M_alt 'C 1 2/c 1'
_space_group_IT_number 15
_space_group_name_Hall '-C 2yc'
loop_
_atom_site_label
_atom_site_type_symbol
_atom_site_fract_x
_atom_site_fract_y
_atom_site_fract_z
V1 V 0.0000 0.2015 0.2500
V2 V 0.0041 0.3959 0.4986
Mo1 Mo 0.0000 0.2007 0.7500
Pd1 Pd 0.0000 0.0000 0.0000
# Magnetization ... 0.0 Bohr magnetons per cell
# Crystal system ... monoclinic
# DOS(E_F) ... 25.015 states/eV/cell

Most stable: ii (next structure +1144 meV/atom)

i:
# VMoPd4 (GGA-PBE, optimized geometry)
data_VMoPd4
_cell_length_a 2.7562
_cell_length_b 2.7562
_cell_length_c 11.8233
_cell_angle_alpha 90.00
_cell_angle_beta 90.00
_cell_angle_gamma 90.00
_space_group_name_H-M_alt 'P 4/m m m'
_space_group_IT_number 123
_space_group_name_Hall '-P 4 2'
loop_
_atom_site_label
_atom_site_type_symbol
_atom_site_fract_x
_atom_site_fract_y
_atom_site_fract_z
V1 V 0.0000 0.0000 0.0000
Mo1 Mo 0.5000 0.5000 0.5000
Pd1 Pd 0.0000 0.0000 0.3339
Pd2 Pd 0.5000 0.5000 0.1543
# Magnetization ... 0.0 Bohr magnetons per cell
# Crystal system ... tetragonal
# DOS(E_F) ... 6.164 states/eV/cell

ii:
# VMoPd4 (GGA-PBE, optimized geometry)
data_VMoPd4
_cell_length_a 5.2613
_cell_length_b 7.6188
_cell_length_c 5.2788
_cell_angle_alpha 90.00
_cell_angle_beta 119.18
_cell_angle_gamma 90.00
_space_group_name_H-M_alt 'C 1 2/m 1'
_space_group_IT_number 12
_space_group_name_Hall '-C 2y'
loop_
_atom_site_label
_atom_site_type_symbol
_atom_site_fract_x
_atom_site_fract_y
_atom_site_fract_z
V1 V 0.0000 0.0000 0.0000
Mo1 Mo 0.0000 0.5000 0.5000
Pd1 Pd 0.2472 0.1819 0.7523
# Magnetization ... 0.0 Bohr magnetons per cell
# Crystal system ... monoclinic
# DOS(E_F) ... 10.555 states/eV/cell

Most stable: i (next structure +158 meV/atom)

i:
# MoPd2W (GGA-PBE, optimized geometry)
data_MoPd2W
_cell_length_a 2.7810
_cell_length_b 2.7810
_cell_length_c 27.8094
_cell_angle_alpha 90.00
_cell_angle_beta 90.00
_cell_angle_gamma 120.00
_space_group_name_H-M_alt 'R -3 m'
_space_group_IT_number 166
_space_group_name_Hall '-R 3 2"'
loop_
_atom_site_label
_atom_site_type_symbol
_atom_site_fract_x
_atom_site_fract_y
_atom_site_fract_z
Mo1 Mo 0.0000 0.0000 0.0000
Pd1 Pd 0.0000 0.0000 0.2499
W1 W 0.0000 0.0000 0.5000
# Magnetization ... 0.0 Bohr magnetons per cell
# Crystal system ... trigonal
# DOS(E_F) ... 12.385 states/eV/cell

ii:
# MoPd2W (GGA-PBE, optimized geometry)
data_MoPd2W
_cell_length_a 6.3283
_cell_length_b 6.3283
_cell_length_c 6.3283
_cell_angle_alpha 90.00
_cell_angle_beta 90.00
_cell_angle_gamma 90.00
_space_group_name_H-M_alt 'F m -3 m'
_space_group_IT_number 225
_space_group_name_Hall '-F 4 2 3'
loop_
_atom_site_label
_atom_site_type_symbol
_atom_site_fract_x
_atom_site_fract_y
_atom_site_fract_z
Mo1 Mo 0.0000 0.0000 0.0000
Pd1 Pd 0.2500 0.2500 0.2500
W1 W 0.0000 0.0000 0.5000
# Magnetization ... 0.0 Bohr magnetons per cell
# Crystal system ... cubic
# DOS(E_F) ... 20.774 states/eV/cell

Most stable: i (next structure +400 meV/atom)